No. 1
Material: Sr2ReSe
Method: DFT, meta-GGA SCAN
State: PBEsol geometry

## Properties
E (eV per atom): -33.890
Space-group type: Imm2
Raw formation energy (meV/atom): 41
Volume (Å³ per atom): 24.89

a b c (Å): 3.4053 5.2035 6.4208
angles (deg): 113.90 105.38 90.00
Last column: magnetic moment on the atom in μB.
Sites, in units of the cell vectors:
Re  0.4553  0.4553  0.9106  0.77
Se  0.7956  0.2956  0.5912  0.02
Sr  0.0268  0.0268  0.0536  0.00
Sr  0.2223  0.7223  0.4446  0.00

=====

No. 2
Material: SrReSe
Method: DFT, meta-GGA SCAN
State: PBEsol geometry

## Properties
E (eV per atom): -36.476
Space-group type: F-43m
Raw formation energy (meV/atom): 1341
Volume (Å³ per atom): 31.08

a b c (Å): 5.0900 5.0900 5.0900
angles (deg): 60.00 60.00 60.00
Last column: magnetic moment on the atom in μB.
Sites, in units of the cell vectors:
Re  0.0000  0.0000  0.0000  3.46
Se  0.5000  0.5000  0.5000  0.26
Sr  0.2500  0.2500  0.2500  0.07

=====

No. 3
Material: Sr2ReSe
Method: DFT, meta-GGA SCAN
State: PBEsol geometry

## Properties
E (eV per atom): -33.832
Space-group type: P4/mmm
Raw formation energy (meV/atom): 99
Volume (Å³ per atom): 25.71

a b c (Å): 3.6000 5.3452 5.3452
angles (deg): 90.00 90.00 90.00
Last column: magnetic moment on the atom in μB.
Sites, in units of the cell vectors:
Re  0.5000  0.5000  0.5000  1.98
Se  0.5000  0.0000  0.0000  0.06
Sr  0.0000  0.0000  0.5000  0.03
Sr  0.0000  0.5000  0.0000  0.03

=====

No. 4
Material: Sr2ReSe
Method: DFT, meta-GGA SCAN
State: PBEsol geometry

## Properties
E (eV per atom): -33.750
Space-group type: P4/mmm
Raw formation energy (meV/atom): 181
Volume (Å³ per atom): 29.97

a b c (Å): 4.3774 4.3774 6.2570
angles (deg): 90.00 90.00 90.00
Last column: magnetic moment on the atom in μB.
Sites, in units of the cell vectors:
Re  0.0000  0.0000  0.0000  2.21
Se  0.5000  0.5000  0.5000  0.04
Sr  0.0000  0.0000  0.5000  0.00
Sr  0.5000  0.5000  0.0000  0.04